Density functional theory data (PBE) for a relaxed structure of YMnGe2Bi.

Cell lengths 4.649, 4.649, 5.242 Å; angles 90.00, 90.00, 90.00 degrees
Space group P4/mmm (No. 123)
Symmetry-distinct sites (fractional):
Y  0.000  0.000  0.000 (multiplicity 1)
Mn  0.000  0.000  0.500 (multiplicity 1)
Ge  0.000  0.500  0.500 (multiplicity 2)
Bi  0.500  0.500  0.000 (multiplicity 1)

Spin magnetization = 0.187 μB per atom
DFT total energy = -29.03 eV for the cell shown